PmDy6Er3Th2, optimized geometry, DFT PBE; magnetization = 0.000 μB/atom; formation energy = 0.03 eV per atom
1.0
3.082 -5.331 0.000
3.082 5.331 0.000
-2.055 0.000 11.555
Pm Dy Er Th
1 6 3 2
Direct
0.000 0.000 0.000 Pm
0.084 0.422 0.250 Dy
0.254 0.254 0.750 Dy
0.422 0.084 0.250 Dy
0.578 0.916 0.750 Dy
0.746 0.746 0.250 Dy
0.916 0.578 0.750 Dy
0.166 0.834 0.500 Er
0.500 0.500 0.500 Er
0.834 0.166 0.500 Er
0.333 0.667 0.000 Th
0.667 0.333 0.000 Th